# 1
4
Lattice="-1.807 1.807 4.343 1.807 -1.807 4.343 1.807 1.807 -4.343" Properties=species:S:1:pos:R:3 comment="TaBe2Br (PBE, relaxed)" total_magnetization_mub_per_atom=0.000 relative_energy_mev_per_atom=374.3 formation_energy_uncorrected_ev_per_atom=0.75 pbc="T T T"
Ta 0.000 0.000 0.000
Be 1.807 0.000 2.171
Be 0.000 0.000 4.343
Br 0.000 1.807 2.171

---

# 2
5
Lattice="4.778 0.000 0.000 0.000 4.778 0.000 0.000 0.000 4.778" Properties=species:S:1:pos:R:3 comment="TaBe3Br (PBE, relaxed)" total_magnetization_mub_per_atom=0.001 relative_energy_mev_per_atom=183.7 formation_energy_uncorrected_ev_per_atom=1.78 pbc="T T T"
Ta 0.000 0.000 0.000
Be 0.000 0.000 2.389
Be 0.000 2.389 0.000
Be 2.389 0.000 0.000
Br 2.389 2.389 2.389

---

# 3
3
Lattice="4.436 0.000 0.000 -2.218 3.842 0.000 0.000 0.000 2.965" Properties=species:S:1:pos:R:3 comment="TaBeBr (PBE, relaxed)" total_magnetization_mub_per_atom=0.000 relative_energy_mev_per_atom=427.1 formation_energy_uncorrected_ev_per_atom=0.76 pbc="T T T"
Ta 0.000 0.000 0.000
Be 2.218 1.281 1.482
Br 0.000 2.561 0.000

---

# 4
4
Lattice="3.267 0.000 0.000 0.000 3.280 0.000 -1.148 0.000 8.520" Properties=species:S:1:pos:R:3 comment="TaBeBr2 (PBE, relaxed)" total_magnetization_mub_per_atom=0.000 relative_energy_mev_per_atom=0.0 formation_energy_uncorrected_ev_per_atom=-0.11 pbc="T T T"
Ta 0.000 0.000 0.000
Be 1.510 1.640 1.207
Br 0.467 0.000 2.654
Br 2.054 1.640 6.496

---

# 5
6
Lattice="0.000 3.900 3.900 3.900 0.000 3.900 3.900 3.900 0.000" Properties=species:S:1:pos:R:3 comment="Ta4BeBr (PBE, relaxed)" total_magnetization_mub_per_atom=0.000 formation_energy_uncorrected_ev_per_atom=1.01 pbc="T T T"
Ta 0.960 0.960 0.960
Ta 2.940 2.940 0.960
Ta 2.940 0.960 2.940
Ta 0.960 2.940 2.940
Be 5.850 5.850 5.850
Br 3.900 3.900 3.900

---

# 6
3
Lattice="0.000 2.976 2.976 2.976 0.000 2.976 2.976 2.976 0.000" Properties=species:S:1:pos:R:3 comment="TaBeBr (PBE, relaxed)" total_magnetization_mub_per_atom=0.000 relative_energy_mev_per_atom=990.1 formation_energy_uncorrected_ev_per_atom=1.32 pbc="T T T"
Ta 0.000 0.000 0.000
Be 2.976 2.976 2.976
Br 4.464 4.464 4.464

---

Number 1: density of states at the Fermi level 2.087 states/eV per cell. Number 2: density of states at the Fermi level 7.782 states/eV per cell. Number 3: density of states at the Fermi level 1.083 states/eV per cell. Number 4: density of states at the Fermi level 0.563 states/eV per cell. Number 5: density of states at the Fermi level 3.329 states/eV per cell. Number 6: density of states at the Fermi level 1.658 states/eV per cell.